Density functional theory data (PBE) for a relaxed structure of CaPm3Nd.

a b c (Å): 12.4878 12.4878 12.4878
angles (deg): 28.69 28.69 28.69
Last column: nearest neighbours and their distance in Å.
Atoms (fractional coordinates):
1 Ca 0.1662 0.1662 0.1662  3 Ca 3.57, 6 Pm 3.71-3.75
2 Ca 0.8338 0.8338 0.8338  3 Ca 3.57, 6 Pm 3.71-3.75
3 Pm 0.0830 0.4110 0.7469  2 Nd 3.53-3.56, 6 Pm 3.56-3.60, 2 Ca 3.71-3.75
4 Pm 0.2531 0.9171 0.5890  2 Nd 3.53-3.56, 6 Pm 3.56-3.60, 2 Ca 3.71-3.75
5 Pm 0.4110 0.7469 0.0830  2 Nd 3.53-3.56, 6 Pm 3.56-3.60, 2 Ca 3.71-3.75
6 Pm 0.5890 0.2531 0.9171  2 Nd 3.53-3.56, 6 Pm 3.56-3.60, 2 Ca 3.71-3.75
7 Pm 0.7469 0.0829 0.4110  2 Nd 3.53-3.56, 6 Pm 3.56-3.60, 2 Ca 3.71-3.75
8 Pm 0.9171 0.5890 0.2531  2 Nd 3.53-3.56, 6 Pm 3.56-3.60, 2 Ca 3.71-3.75
9 Nd 0.3336 0.3336 0.3336  6 Pm 3.53-3.56, 3 Nd 3.57
10 Nd 0.6664 0.6664 0.6664  6 Pm 3.53-3.56, 3 Nd 3.57

Properties
**SG**: R-3, No. 148
**Theoretical density**: 5.18 g/cm³
**Volume**: 396.8 Å³/cell
**Energy of formation from the pure elements**: 358 meV/atom

Density functional theory data (PBE) for a relaxed structure of CaPmNd2.

a b c (Å): 12.4434 12.4434 12.4434
angles (deg): 17.10 17.10 17.10
Last column: nearest neighbours and their distance in Å.
Atoms (fractional coordinates):
1 Ca 0.0000 0.0000 0.0000  6 Ca 3.70, 6 Nd 3.84-3.86
2 Pm 0.1661 0.1661 0.1661  6 Nd 3.62-3.63, 6 Pm 3.70
3 Nd 0.5793 0.5793 0.5793  3 Pm 3.63, 6 Nd 3.70, 3 Ca 3.86
4 Nd 0.7533 0.7533 0.7533  3 Pm 3.62, 6 Nd 3.70, 3 Ca 3.84

Properties
**SG**: R3m, No. 160
**Theoretical density**: 5.41 g/cm³
**Volume**: 145.3 Å³/cell
**Energy of formation from the pure elements**: 35 meV/atom

Density functional theory data (PBE) for a relaxed structure of CaPm3Nd8.

a b c (Å): 9.5172 9.5172 13.3312
angles (deg): 104.13 104.13 21.61
Last column: nearest neighbours and their distance in Å.
Atoms (fractional coordinates):
1 Ca 0.0000 0.0000 0.0000  2 Ca 3.57, 7 Nd 3.65-3.90, 3 Pm 3.76-3.87
2 Pm 0.4701 0.4701 0.7356  3 Pm 3.57-3.61, 7 Nd 3.71-3.81, 2 Ca 3.87
3 Pm 0.6379 0.6379 0.6476  7 Nd 3.45-3.68, 3 Pm 3.57-3.61
4 Pm 0.8267 0.8267 0.0951  7 Nd 3.46-3.70, 2 Pm 3.57, 1 Ca 3.76
5 Nd 0.1483 0.1483 0.4101  10 Nd 3.56-3.70, 2 Pm 3.68
6 Nd 0.3213 0.3213 0.3312  10 Nd 3.54-3.68, 2 Pm 3.64
7 Nd 0.4894 0.4894 0.2536  8 Nd 3.54-3.69, 2 Pm 3.70, 2 Ca 3.87
8 Nd 0.6595 0.6595 0.9120  4 Nd 3.42-3.57, 3 Pm 3.45-3.73
9 Nd 0.6620 0.6620 0.1766  1 Pm 3.51, 8 Nd 3.52-3.65, 2 Ca 3.79
10 Nd 0.8115 0.8115 0.5662  8 Nd 3.40-3.70, 3 Pm 3.67-3.71
11 Nd 0.8162 0.8162 0.8229  4 Nd 3.40-3.57, 4 Pm 3.56-3.81, 1 Ca 3.65
12 Nd 0.9811 0.9811 0.4924  8 Nd 3.55-3.69, 4 Pm 3.61-3.75

Properties
**SG**: Cm, No. 8
**Theoretical density**: 6.28 g/cm³
**Volume**: 430.8 Å³/cell
**Energy of formation from the pure elements**: 137 meV/atom

Density functional theory data (PBE) for a relaxed structure of Ca2Pm3Nd6.

a b c (Å): 33.6106 33.6106 33.6106
angles (deg): 6.30 6.30 6.30
Last column: nearest neighbours and their distance in Å.
Atoms (fractional coordinates):
1 Ca 0.0464 0.0464 0.0464  6 Ca 3.69, 6 Nd 3.86
2 Ca 0.9536 0.9536 0.9536  6 Ca 3.69, 6 Nd 3.86
3 Pm 0.2261 0.2261 0.2261  6 Nd 3.61-3.68, 6 Pm 3.69
4 Pm 0.5000 0.5000 0.5000  6 Nd 3.66, 6 Pm 3.69
5 Pm 0.7739 0.7739 0.7739  6 Nd 3.61-3.68, 6 Pm 3.69
6 Nd 0.1371 0.1371 0.1371  6 Pm 3.66-3.68, 6 Nd 3.69
7 Nd 0.3190 0.3190 0.3190  9 Nd 3.59-3.69, 3 Ca 3.86
8 Nd 0.4116 0.4116 0.4116  3 Pm 3.61, 6 Nd 3.69, 3 Ca 3.86
9 Nd 0.5884 0.5884 0.5884  3 Pm 3.61, 6 Nd 3.69, 3 Ca 3.86
10 Nd 0.6810 0.6810 0.6810  9 Nd 3.59-3.69, 3 Ca 3.86
11 Nd 0.8629 0.8629 0.8629  6 Pm 3.66-3.68, 6 Nd 3.69

Properties
**SG**: R-3m, No. 166
**Theoretical density**: 5.78 g/cm³
**Volume**: 396.4 Å³/cell
**Energy of formation from the pure elements**: 25 meV/atom

Density functional theory data (PBE) for a relaxed structure of CaPm6Nd5.

a b c (Å): 8.2302 8.2302 6.3725
angles (deg): 97.42 97.42 84.30
Last column: nearest neighbours and their distance in Å.
Atoms (fractional coordinates):
1 Ca 0.0000 0.0000 0.0000  6 Nd 3.70-3.73, 6 Pm 3.72-3.73
2 Pm 0.0840 0.4231 0.2534  5 Nd 3.61-3.73, 6 Pm 3.62-3.75, 1 Ca 3.73
3 Pm 0.2521 0.2521 0.7441  5 Nd 3.63-3.71, 6 Pm 3.65-3.74, 1 Ca 3.72
4 Pm 0.4231 0.0840 0.2534  5 Nd 3.61-3.73, 6 Pm 3.62-3.75, 1 Ca 3.73
5 Pm 0.5769 0.9160 0.7466  5 Nd 3.61-3.73, 6 Pm 3.62-3.75, 1 Ca 3.73
6 Pm 0.7479 0.7479 0.2559  5 Nd 3.63-3.71, 6 Pm 3.65-3.74, 1 Ca 3.72
7 Pm 0.9160 0.5769 0.7466  5 Nd 3.61-3.73, 6 Pm 3.62-3.75, 1 Ca 3.73
8 Nd 0.1701 0.8299 0.5000  6 Pm 3.61-3.71, 4 Nd 3.64-3.76, 2 Ca 3.70
9 Nd 0.3375 0.6625 0.0000  5 Nd 3.59-3.68, 6 Pm 3.65-3.73, 1 Ca 3.73
10 Nd 0.5000 0.5000 0.5000  6 Pm 3.63-3.66, 6 Nd 3.64-3.66
11 Nd 0.6625 0.3375 0.0000  5 Nd 3.59-3.68, 6 Pm 3.65-3.73, 1 Ca 3.73
12 Nd 0.8299 0.1701 0.5000  6 Pm 3.61-3.71, 4 Nd 3.64-3.76, 2 Ca 3.70

Properties
**SG**: C2/m, No. 12
**Theoretical density**: 6.40 g/cm³
**Volume**: 423.0 Å³/cell
**Energy of formation from the pure elements**: 30 meV/atom

Density functional theory data (PBE) for a relaxed structure of Ca2Pm3Nd2.

a b c (Å): 6.4110 6.4110 8.2349
angles (deg): 98.21 98.21 48.85
Last column: nearest neighbours and their distance in Å.
Atoms (fractional coordinates):
1 Ca 0.0691 0.0691 0.2148  7 Pm 3.64-3.79, 1 Ca 3.65, 4 Nd 3.68-3.72
2 Ca 0.9309 0.9309 0.7852  7 Pm 3.64-3.79, 1 Ca 3.65, 4 Nd 3.68-3.72
3 Pm 0.3501 0.3501 0.0753  4 Pm 3.62-3.89, 5 Ca 3.64-3.79, 3 Nd 3.65-3.69
4 Pm 0.5000 0.5000 0.5000  2 Pm 3.66, 6 Nd 3.67-3.74, 4 Ca 3.71
5 Pm 0.6499 0.6499 0.9247  4 Pm 3.62-3.89, 5 Ca 3.64-3.79, 3 Nd 3.65-3.69
6 Nd 0.2179 0.2179 0.6436  6 Pm 3.65-3.74, 4 Ca 3.68-3.72, 2 Nd 3.71
7 Nd 0.7821 0.7821 0.3564  6 Pm 3.65-3.74, 4 Ca 3.68-3.72, 2 Nd 3.71

Properties
**SG**: C2/m, No. 12
**Theoretical density**: 5.30 g/cm³
**Volume**: 251.7 Å³/cell
**Energy of formation from the pure elements**: 84 meV/atom

Density functional theory data (PBE) for a relaxed structure of CaPm2Nd2.

a b c (Å): 5.7535 3.6139 9.2233
angles (deg): 90.00 108.05 90.00
Last column: nearest neighbours and their distance in Å.
Atoms (fractional coordinates):
1 Ca 0.0000 0.0000 0.0000  2 Nd 3.55, 2 Ca 3.61, 8 Pm 3.94-3.95
2 Pm 0.3847 0.5000 0.7715  3 Pm 3.61-4.01, 6 Nd 3.69-3.73, 4 Ca 3.94-3.95
3 Pm 0.6153 0.5000 0.2285  3 Pm 3.61-4.01, 6 Nd 3.69-3.73, 4 Ca 3.94-3.95
4 Nd 0.2033 0.0000 0.4052  4 Nd 3.32-3.61, 1 Ca 3.55, 2 Pm 3.69
5 Nd 0.7967 0.0000 0.5948  4 Nd 3.32-3.61, 1 Ca 3.55, 2 Pm 3.69

Properties
**SG**: P2/m, No. 10
**Theoretical density**: 5.63 g/cm³
**Volume**: 182.3 Å³/cell
**Energy of formation from the pure elements**: 66 meV/atom

Density functional theory data (PBE) for a relaxed structure of CaPm6Nd.

a b c (Å): 5.2069 5.2069 10.3645
angles (deg): 90.00 90.00 90.00
Last column: nearest neighbours and their distance in Å.
Atoms (fractional coordinates):
1 Ca 0.0000 0.0000 0.0000  12 Pm 3.68-3.72
2 Pm 0.0000 0.5000 0.2559  8 Pm 3.63-3.72, 2 Nd 3.63, 2 Ca 3.72
3 Pm 0.0000 0.5000 0.7441  8 Pm 3.63-3.72, 2 Nd 3.63, 2 Ca 3.72
4 Pm 0.5000 0.0000 0.2559  8 Pm 3.63-3.72, 2 Nd 3.63, 2 Ca 3.72
5 Pm 0.5000 0.0000 0.7441  8 Pm 3.63-3.72, 2 Nd 3.63, 2 Ca 3.72
6 Pm 0.5000 0.5000 0.0000  4 Ca 3.68, 8 Pm 3.72
7 Pm 0.5000 0.5000 0.5000  8 Pm 3.63, 4 Nd 3.68
8 Nd 0.0000 0.0000 0.5000  12 Pm 3.63-3.68

Properties
**SG**: P4/mmm, No. 123
**Theoretical density**: 6.23 g/cm³
**Volume**: 281.0 Å³/cell
**Energy of formation from the pure elements**: 47 meV/atom